Entry one
VASP calculation (PBE) on crystalline LaZnN2F at its relaxed geometry.

```
LaZnN2F
1.0
3.920 0.000 0.000
0.000 3.920 0.000
0.000 0.000 4.187
F N Zn La
1 2 1 1
Direct
0.000 0.000 0.500
0.500 0.000 0.000
0.000 0.500 0.000
0.000 0.000 0.000
0.500 0.500 0.500
```

Summary:
**Spin magnetization**: 0.0 μB/f.u.

Entry two
VASP calculation (PBE) on crystalline LaZnN2F at its relaxed geometry.

```
LaZnN2F
1.0
4.443 0.000 0.000
0.000 4.443 0.000
0.000 0.000 4.589
N Zn F La
2 1 1 1
Direct
0.000 0.500 0.000
0.500 0.000 0.000
0.500 0.500 0.500
0.000 0.000 0.500
0.000 0.000 0.000
```

Summary:
**Spin magnetization**: 0.1 μB/f.u.

Which one sits at the bottom of the stability order? entry two does.

Entry one
VASP calculation (PBE) on crystalline LaZrNF2 at its relaxed geometry.

```
LaZrNF2
1.0
-2.335 -2.308 2.998
3.534 -0.072 2.697
-1.564 4.398 2.168
F La N Zr
2 1 1 1
Direct
0.500 0.000 0.000
0.000 0.500 0.000
0.000 0.000 0.000
0.000 0.000 0.500
0.500 0.500 0.500
```

Summary:
**Spin magnetization**: 2.0 μB/f.u.

Entry two
VASP calculation (PBE) on crystalline LaZrNF2 at its relaxed geometry.

```
LaZrNF2
1.0
4.309 0.000 0.000
0.000 4.309 0.000
0.000 0.000 4.339
F N La Zr
2 1 1 1
Direct
0.500 0.000 0.000
0.000 0.500 0.000
0.000 0.000 0.500
0.500 0.500 0.500
0.000 0.000 0.000
```

Summary:
**Spin magnetization**: 0.6 μB/f.u.

Which one sits at the bottom of the stability order? entry one does.

Entry one
VASP calculation (PBE) on crystalline NaLa2F at its relaxed geometry.

```
NaLa2F
1.0
3.830 0.000 0.000
1.915 3.317 0.000
1.915 1.106 10.121
La Na F
2 1 1
Direct
0.119 0.119 0.643
0.881 0.881 0.357
0.000 0.000 0.000
0.500 0.500 0.500
```

Summary:
**Spin magnetization**: 0.0 μB/f.u.

Entry two
VASP calculation (PBE) on crystalline NaLa2F at its relaxed geometry.

```
NaLa2F
1.0
2.383 1.482 4.670
-2.103 -1.609 4.762
2.615 -3.705 3.020
La F Na
2 1 1
Direct
0.250 0.250 0.250
0.750 0.750 0.750
0.000 0.000 0.000
0.500 0.500 0.500
```

Summary:
**Spin magnetization**: 0.0 μB/f.u.

Which one sits at the bottom of the stability order? entry two does.

Entry one
VASP calculation (PBE) on crystalline NaLaF3 at its relaxed geometry.

```
NaLaF3
1.0
5.961 0.000 0.000
0.000 7.185 -0.191
0.000 -1.303 7.672
F La Na
12 4 4
Direct
0.038 0.265 0.094
0.176 0.621 0.151
0.645 0.930 0.150
0.962 0.735 0.906
0.462 0.265 0.594
0.538 0.735 0.406
0.324 0.621 0.651
0.676 0.379 0.349
0.145 0.070 0.350
0.824 0.379 0.849
0.355 0.070 0.850
0.855 0.930 0.650
0.755 0.613 0.144
0.255 0.387 0.356
0.745 0.613 0.644
0.245 0.387 0.856
0.246 0.917 0.571
0.254 0.917 0.071
0.754 0.083 0.429
0.746 0.083 0.929
```

Summary:
**Spin magnetization**: 0.0 μB/f.u.

Entry two
VASP calculation (PBE) on crystalline NaLaF3 at its relaxed geometry.

```
NaLaF3
1.0
4.769 0.000 0.000
0.000 4.769 0.000
0.000 0.000 4.769
La F Na
1 3 1
Direct
0.000 0.000 0.000
0.000 0.000 0.500
0.000 0.500 0.000
0.500 0.000 0.000
0.500 0.500 0.500
```

Summary:
**Spin magnetization**: 0.0 μB/f.u.

Entry three
VASP calculation (PBE) on crystalline NaLaF3 at its relaxed geometry.

```
NaLaF3
1.0
-1.492 2.620 -2.872
2.864 -1.340 -2.710
-2.630 -2.946 -1.322
La F Na
1 3 1
Direct
0.500 0.500 0.500
0.500 0.000 0.000
0.000 0.500 0.000
0.000 0.000 0.500
0.000 0.000 0.000
```

Summary:
**Spin magnetization**: 0.8 μB/f.u.

Which one sits at the bottom of the stability order? entry three does.

Entry one
VASP calculation (PBE) on crystalline NaLaOF2 at its relaxed geometry.

```
NaLaOF2
1.0
3.920 0.000 0.000
0.000 3.920 0.000
0.000 0.000 4.402
Na La F O
1 1 2 1
Direct
0.000 0.000 0.000
0.500 0.500 0.500
0.500 0.000 0.000
0.000 0.500 0.000
0.000 0.000 0.500
```

Summary:
**Spin magnetization**: 0.0 μB/f.u.

Entry two
VASP calculation (PBE) on crystalline NaLaOF2 at its relaxed geometry.

```
NaLaOF2
1.0
-2.423 4.115 0.055
-3.776 -2.198 -1.927
-1.560 -0.975 4.168
F Na O La
2 1 1 1
Direct
0.000 0.500 0.000
0.500 0.000 0.000
0.500 0.500 0.500
0.000 0.000 0.500
0.000 0.000 0.000
```

Summary:
**Spin magnetization**: 0.0 μB/f.u.

Which one sits at the bottom of the stability order? entry one does.

Entry one
VASP calculation (PBE) on crystalline LaNb3F at its relaxed geometry.

```
LaNb3F
1.0
-2.407 1.290 3.705
3.577 -1.066 2.695
1.613 4.288 -0.445
Nb F La
3 1 1
Direct
0.000 0.500 0.000
0.000 0.000 0.500
0.500 0.000 0.000
0.000 0.000 0.000
0.500 0.500 0.500
```

Summary:
**Spin magnetization**: 0.0 μB/f.u.

Entry two
VASP calculation (PBE) on crystalline LaNb3F at its relaxed geometry.

```
LaNb3F
1.0
4.927 0.000 0.000
0.000 4.927 0.000
0.000 0.000 4.927
Nb La F
3 1 1
Direct
0.500 0.000 0.000
0.000 0.000 0.500
0.000 0.500 0.000
0.000 0.000 0.000
0.500 0.500 0.500
```

Summary:
**Spin magnetization**: 0.0 μB/f.u.

Which one sits at the bottom of the stability order? entry two does.

Entry one
VASP calculation (PBE) on crystalline LaNbF3 at its relaxed geometry.

```
LaNbF3
1.0
4.743 0.000 0.000
0.000 4.743 0.000
0.000 0.000 4.743
La F Nb
1 3 1
Direct
0.000 0.000 0.000
0.500 0.000 0.000
0.000 0.500 0.000
0.000 0.000 0.500
0.500 0.500 0.500
```

Summary:
**Spin magnetization**: 4.8 μB/f.u.

Entry two
VASP calculation (PBE) on crystalline LaNbF3 at its relaxed geometry.

```
LaNbF3
1.0
-4.430 -0.589 0.185
0.591 -3.652 2.514
-0.180 2.514 3.695
F Nb La
3 1 1
Direct
0.000 0.500 0.000
0.500 0.000 0.000
0.000 0.000 0.500
0.000 0.000 0.000
0.500 0.500 0.500
```

Summary:
**Spin magnetization**: 4.8 μB/f.u.

Which one sits at the bottom of the stability order? entry two does.

Entry one
VASP calculation (PBE) on crystalline LaNbF2 at its relaxed geometry.

```
LaNbF2
1.0
1.262 0.575 4.350
-2.391 2.778 2.722
-2.549 -1.739 3.365
F Nb La
2 1 1
Direct
0.250 0.250 0.250
0.750 0.750 0.750
0.000 0.000 0.000
0.500 0.500 0.500
```

Summary:
**Spin magnetization**: 1.8 μB/f.u.

Entry two
VASP calculation (PBE) on crystalline LaNbF2 at its relaxed geometry.

```
LaNbF2
1.0
-2.737 -7.747 0.163
-0.241 -7.945 2.084
-3.017 -6.941 3.201
F Nb La
2 1 1
Direct
0.908 0.908 0.908
0.092 0.092 0.092
0.000 0.000 0.000
0.500 0.500 0.500
```

Summary:
**Spin magnetization**: 0.0 μB/f.u.

Which one sits at the bottom of the stability order? entry one does.

Entry one
VASP calculation (PBE) on crystalline LaNb2TlF at its relaxed geometry.

```
LaNb2TlF
1.0
-0.711 -4.330 1.187
2.945 0.596 3.941
-3.586 1.271 2.488
Nb La F Tl
2 1 1 1
Direct
0.000 0.000 0.500
0.500 0.000 0.000
0.000 0.500 0.000
0.000 0.000 0.000
0.500 0.500 0.500
```

Summary:
**Spin magnetization**: 0.0 μB/f.u.

Entry two
VASP calculation (PBE) on crystalline LaNb2TlF at its relaxed geometry.

```
LaNb2TlF
1.0
5.349 0.000 0.000
0.000 4.424 0.000
0.000 0.000 5.349
Nb La F Tl
2 1 1 1
Direct
0.500 0.000 0.000
0.000 0.000 0.500
0.000 0.000 0.000
0.000 0.500 0.000
0.500 0.500 0.500
```

Summary:
**Spin magnetization**: 2.9 μB/f.u.

Which one sits at the bottom of the stability order? entry two does.